Computed, not measured: a relaxed LaZn2Pt4 crystal at the GGA-PBE level of DFT.

## Properties
- Energy relative to the lowest polymorph listed for this composition: 0 meV/atom
- ΔE_f: -684 meV/atom
- ρ: 14.0 g cm⁻³

Cell lengths 5.3463, 6.8182, 6.8354 Å; angles 90.00, 90.00, 90.00 degrees
Positions (direct):
La1 0.0000 0.0000 0.0000
La2 0.5000 0.5000 0.5000
Zn1 0.2501 0.0000 0.5000
Zn2 0.2499 0.5000 0.0000
Zn3 0.7499 0.0000 0.5000
Zn4 0.7501 0.5000 0.0000
Pt1 0.0000 0.2976 0.2980
Pt2 0.0000 0.2976 0.7020
Pt3 0.0000 0.7024 0.2980
Pt4 0.0000 0.7024 0.7020
Pt5 0.5000 0.2024 0.2020
Pt6 0.5000 0.2024 0.7980
Pt7 0.5000 0.7976 0.2020
Pt8 0.5000 0.7976 0.7980

Computed, not measured: a relaxed LaZn3Pt crystal at the GGA-PBE level of DFT.

## Properties
- Energy relative to the lowest polymorph listed for this composition: 185 meV/atom
- ΔE_f: -401 meV/atom
- ρ: 7.9 g cm⁻³

Cell lengths 4.8197, 4.8197, 4.8197 Å; angles 90.00, 90.00, 90.00 degrees
Positions (direct):
La1 0.0000 0.0000 0.0000
Zn1 0.0000 0.5000 0.5000
Zn2 0.5000 0.0000 0.5000
Zn3 0.5000 0.5000 0.0000
Pt1 0.5000 0.5000 0.5000

Computed, not measured: a relaxed La3Zn9Pt2 crystal at the GGA-PBE level of DFT.

## Properties
- ΔE_f: -510 meV/atom
- ρ: 8.5 g cm⁻³

Cell lengths 8.4221, 8.4221, 8.4221 Å; angles 149.67, 113.35, 74.97 degrees
Positions (direct):
La1 0.0000 0.0000 0.0000
La2 0.3126 0.3126 0.0000
La3 0.6874 0.6874 0.0000
Zn1 0.0314 0.6743 0.3571
Zn2 0.1582 0.8754 0.2828
Zn3 0.3172 0.6743 0.6429
Zn4 0.4074 0.1246 0.2828
Zn5 0.5000 0.0000 0.5000
Zn6 0.5926 0.8754 0.7172
Zn7 0.6828 0.3257 0.3571
Zn8 0.8418 0.1246 0.7172
Zn9 0.9686 0.3257 0.6429
Pt1 0.2754 0.5000 0.7754
Pt2 0.7246 0.5000 0.2246

Computed, not measured: a relaxed LaZn12Pt6 crystal at the GGA-PBE level of DFT.

## Properties
- ΔE_f: -424 meV/atom
- ρ: 10.6 g cm⁻³

Cell lengths 7.1891, 7.1891, 7.1891 Å; angles 104.54, 104.54, 104.54 degrees
Positions (direct):
La1 0.0000 0.0000 0.0000
Zn1 0.1107 0.5000 0.8893
Zn2 0.1107 0.8893 0.5000
Zn3 0.1358 0.3977 0.3977
Zn4 0.3977 0.1358 0.3977
Zn5 0.3977 0.3977 0.1358
Zn6 0.5000 0.1107 0.8893
Zn7 0.5000 0.8893 0.1107
Zn8 0.6023 0.6023 0.8642
Zn9 0.6023 0.8642 0.6023
Zn10 0.8642 0.6023 0.6023
Zn11 0.8893 0.1107 0.5000
Zn12 0.8893 0.5000 0.1107
Pt1 0.2756 0.2756 0.7052
Pt2 0.2756 0.7052 0.2756
Pt3 0.2948 0.7244 0.7244
Pt4 0.7052 0.2756 0.2756
Pt5 0.7244 0.2948 0.7244
Pt6 0.7244 0.7244 0.2948

Computed, not measured: a relaxed LaZn2Pt5 crystal at the GGA-PBE level of DFT.

## Properties
- ΔE_f: -623 meV/atom
- ρ: 14.4 g cm⁻³

Cell lengths 3.9469, 7.1566, 10.1951 Å; angles 90.00, 90.00, 90.00 degrees
Positions (direct):
La1 0.0000 0.0000 0.0000
La2 0.5000 0.5000 0.5000
Zn1 0.0000 0.5000 0.2443
Zn2 0.0000 0.5000 0.7557
Zn3 0.5000 0.0000 0.2557
Zn4 0.5000 0.0000 0.7443
Pt1 0.0000 0.1978 0.3599
Pt2 0.0000 0.1978 0.6401
Pt3 0.0000 0.5000 0.0000
Pt4 0.0000 0.8022 0.3599
Pt5 0.0000 0.8022 0.6401
Pt6 0.5000 0.0000 0.5000
Pt7 0.5000 0.3022 0.1401
Pt8 0.5000 0.3022 0.8599
Pt9 0.5000 0.6978 0.1401
Pt10 0.5000 0.6978 0.8599

Computed, not measured: a relaxed La2Zr2Pt crystal at the GGA-PBE level of DFT.

## Properties
- Energy relative to the lowest polymorph listed for this composition: 0 meV/atom
- ΔE_f: -262 meV/atom
- ρ: 8.0 g cm⁻³

Cell lengths 7.1079, 7.1079, 5.3877 Å; angles 90.00, 90.00, 90.00 degrees
Positions (direct):
La1 0.1668 0.3332 0.0000
La2 0.3332 0.8332 0.0000
La3 0.6668 0.1668 0.0000
La4 0.8332 0.6668 0.0000
Zr1 0.1521 0.6521 0.5000
Zr2 0.3479 0.1521 0.5000
Zr3 0.6521 0.8479 0.5000
Zr4 0.8479 0.3479 0.5000
Pt1 0.0000 0.0000 0.5000
Pt2 0.5000 0.5000 0.5000

Q: What is the ρ in the second record?
A: 7.9 g cm⁻³

Q: Which of these has the lowest ρ?
A: LaZn3Pt

Q: Among the records above, which one has the lowest ρ?
A: LaZn3Pt

Q: What is the formula in the fourth record?
A: LaZn12Pt6